Material: KHg2AsO4
Method: DFT, GGA-PBE
State: relaxed

a = 5.9520 Å, b = 6.9884 Å, c = 7.0868 Å
α = 90.00°, β = 90.00°, γ = 90.00°
Sites, in units of the cell vectors:
K: 0.0000 0.0000 0.0000
K: 0.5000 0.5000 0.5000
Hg: 0.0000 0.3044 0.5000
Hg: 0.0000 0.6956 0.5000
Hg: 0.5000 0.1956 0.0000
Hg: 0.5000 0.8044 0.0000
As: 0.0000 0.5000 0.0000
As: 0.5000 0.0000 0.5000
O: 0.1741 0.3552 0.8631
O: 0.1741 0.6448 0.1369
O: 0.3259 0.1448 0.3631
O: 0.3259 0.8552 0.6369
O: 0.6741 0.1448 0.6369
O: 0.6741 0.8552 0.3631
O: 0.8259 0.3552 0.1369
O: 0.8259 0.6448 0.8631

Calculated values
Energy relative to the elements, uncorrected, eV/atom: -0.9591
Final energy, eV/atom: -4.23
Magnetization, μB/f.u.: 0.0


Material: CuAg2Pb2
Method: DFT, GGA-PBE
State: relaxed

a = 7.3209 Å, b = 7.3209 Å, c = 4.4269 Å
α = 90.00°, β = 90.00°, γ = 90.00°
Sites, in units of the cell vectors:
Cu: 0.0000 0.0000 0.0000
Cu: 0.5000 0.5000 0.0000
Ag: 0.1382 0.3618 0.5000
Ag: 0.3618 0.8618 0.5000
Ag: 0.6382 0.1382 0.5000
Ag: 0.8618 0.6382 0.5000
Pb: 0.1647 0.6647 0.0000
Pb: 0.3353 0.1647 0.0000
Pb: 0.6647 0.8353 0.0000
Pb: 0.8353 0.3353 0.0000

Calculated values
Energy of formation from the pure elements, eV per atom: 0.29
Final energy, eV/atom: -3.15
Magnetization, μB/f.u.: 0.0


Material: BaZn2GePt
Method: DFT, GGA-PBE
State: relaxed

a = 4.9435 Å, b = 4.9435 Å, c = 4.9487 Å
α = 90.00°, β = 90.00°, γ = 90.00°
Sites, in units of the cell vectors:
Ba: 0.0000 0.0000 0.0000
Zn: 0.0000 0.5000 0.5000
Zn: 0.5000 0.0000 0.5000
Ge: 0.5000 0.5000 0.0000
Pt: 0.5000 0.5000 0.5000

Calculated values
Energy of formation from the pure elements, eV per atom: -0.39
Final energy, eV/atom: -3.41
Magnetization, μB/f.u.: 0.0


Material: CrAsRh2
Method: DFT, GGA-PBE
State: relaxed

a = 3.9446 Å, b = 3.9446 Å, c = 3.6749 Å
α = 90.00°, β = 90.00°, γ = 90.00°
Sites, in units of the cell vectors:
Cr: 0.0000 0.0000 0.0000
As: 0.5000 0.5000 0.0000
Rh: 0.0000 0.5000 0.5000
Rh: 0.5000 0.0000 0.5000

Calculated values
Energy of formation from the pure elements, eV per atom: -0.19
Final energy, eV/atom: -7.43
Magnetization, μB/f.u.: 3.2


Material: ZnBPt3
Method: DFT, GGA-PBE
State: relaxed

a = 4.1899 Å, b = 4.1899 Å, c = 4.1899 Å
α = 90.00°, β = 90.00°, γ = 90.00°
Sites, in units of the cell vectors:
Zn: 0.0000 0.0000 0.0000
B: 0.5000 0.5000 0.5000
Pt: 0.0000 0.5000 0.5000
Pt: 0.5000 0.0000 0.5000
Pt: 0.5000 0.5000 0.0000

Calculated values
Energy of formation from the pure elements, eV per atom: -0.20
Final energy, eV/atom: -5.41
Magnetization, μB/f.u.: 0.0


Material: KSc2Sb
Method: DFT, GGA-PBE
State: relaxed

a = 3.9060 Å, b = 3.9060 Å, c = 32.5419 Å
α = 90.00°, β = 90.00°, γ = 120.00°
Sites, in units of the cell vectors:
K: 0.0000 0.0000 0.0000
K: 0.3333 0.6667 0.6667
K: 0.6667 0.3333 0.3333
Sc: 0.0000 0.0000 0.1131
Sc: 0.0000 0.0000 0.8869
Sc: 0.3333 0.6667 0.5535
Sc: 0.3333 0.6667 0.7798
Sc: 0.6667 0.3333 0.2202
Sc: 0.6667 0.3333 0.4465
Sb: 0.0000 0.0000 0.5000
Sb: 0.3333 0.6667 0.1667
Sb: 0.6667 0.3333 0.8333

Calculated values
Energy relative to the elements, uncorrected, eV/atom: -0.0147
Final energy, eV/atom: -4.49
Magnetization, μB/f.u.: 0.7


Material: ErCdTe3
Method: DFT, GGA-PBE
State: relaxed

a = 6.4883 Å, b = 4.5033 Å, c = 12.6656 Å
α = 90.00°, β = 102.20°, γ = 90.00°
Sites, in units of the cell vectors:
Er: 0.0058 0.2500 0.3395
Er: 0.9942 0.7500 0.6605
Cd: 0.4894 0.2500 0.8807
Cd: 0.5105 0.7500 0.1193
Te: 0.2268 0.7500 0.8968
Te: 0.2419 0.2500 0.5773
Te: 0.2813 0.7500 0.2858
Te: 0.7187 0.2500 0.7142
Te: 0.7581 0.7500 0.4227
Te: 0.7732 0.2500 0.1032

Calculated values
Energy relative to the elements, uncorrected, eV/atom: -0.7248
Final energy, eV/atom: -3.71
Magnetization, μB/f.u.: 0.0


Material: Pm2NdSm4
Method: DFT, GGA-PBE
State: relaxed

a = 3.5755 Å, b = 5.8771 Å, c = 23.1284 Å
α = 90.00°, β = 90.00°, γ = 90.00°
Sites, in units of the cell vectors:
Pm: 0.0000 0.0000 0.2241
Pm: 0.0000 0.0000 0.7759
Pm: 0.5000 0.5000 0.2759
Pm: 0.5000 0.5000 0.7241
Nd: 0.0000 0.0000 0.5000
Nd: 0.5000 0.5000 0.0000
Sm: 0.0000 0.5000 0.1369
Sm: 0.0000 0.5000 0.4159
Sm: 0.0000 0.5000 0.5841
Sm: 0.0000 0.5000 0.8631
Sm: 0.5000 0.0000 0.0841
Sm: 0.5000 0.0000 0.3631
Sm: 0.5000 0.0000 0.6369
Sm: 0.5000 0.0000 0.9159

Calculated values
Energy of formation from the pure elements, eV per atom: 0.10
Final energy, eV/atom: -4.64
Magnetization, μB/f.u.: 0.0


Material: Na2ZnPb2
Method: DFT, GGA-PBE
State: relaxed

a = 8.4145 Å, b = 8.4145 Å, c = 8.4145 Å
α = 132.59°, β = 63.68°, γ = 140.05°
Sites, in units of the cell vectors:
Na: 0.1001 0.1424 0.2425
Na: 0.3999 0.6424 0.0423
Na: 0.6001 0.3576 0.9577
Na: 0.8999 0.8576 0.7575
Zn: 0.2500 0.7500 0.5000
Zn: 0.7500 0.2500 0.5000
Pb: 0.1688 0.6391 0.8080
Pb: 0.3312 0.1391 0.4703
Pb: 0.6688 0.8609 0.5297
Pb: 0.8312 0.3609 0.1920

Calculated values
Energy of formation from the pure elements, eV per atom: -0.04
Final energy, eV/atom: -2.31
Magnetization, μB/f.u.: 0.0


Material: Lu2PdPb
Method: DFT, GGA-PBE
State: relaxed

a = 3.5333 Å, b = 3.5333 Å, c = 7.6061 Å
α = 90.00°, β = 90.00°, γ = 90.00°
Sites, in units of the cell vectors:
Lu: 0.0000 0.0000 0.2146
Lu: 0.0000 0.0000 0.7854
Pd: 0.5000 0.5000 0.0000
Pb: 0.5000 0.5000 0.5000

Calculated values
Energy of formation from the pure elements, eV per atom: -0.66
Final energy, eV/atom: -5.15
Magnetization, μB/f.u.: 0.0


Material: BaSr3U2N6
Method: DFT, GGA-PBE
State: relaxed

a = 8.4391 Å, b = 8.4391 Å, c = 7.3559 Å
α = 102.12°, β = 102.12°, γ = 25.13°
Sites, in units of the cell vectors:
Ba: 0.0000 0.0000 0.0000
Sr: 0.0000 0.0000 0.5000
Sr: 0.3296 0.3296 0.1637
Sr: 0.6704 0.6704 0.8363
U: 0.3270 0.3270 0.6622
U: 0.6730 0.6730 0.3378
N: 0.1759 0.1759 0.1405
N: 0.1905 0.1905 0.5684
N: 0.4533 0.4533 0.7051
N: 0.5467 0.5467 0.2949
N: 0.8095 0.8095 0.4316
N: 0.8241 0.8241 0.8595

Calculated values
Energy relative to the elements, uncorrected, eV/atom: -1.0358
Final energy, eV/atom: -7.66
Magnetization, μB/f.u.: 1.9


Material: KLuTl2
Method: DFT, GGA-PBE
State: relaxed

a = 3.6793 Å, b = 3.6793 Å, c = 32.5821 Å
α = 90.00°, β = 90.00°, γ = 120.00°
Sites, in units of the cell vectors:
K: 0.0000 0.0000 0.0000
K: 0.3333 0.6667 0.6667
K: 0.6667 0.3333 0.3333
Lu: 0.0000 0.0000 0.5000
Lu: 0.3333 0.6667 0.1667
Lu: 0.6667 0.3333 0.8333
Tl: 0.0000 0.0000 0.2426
Tl: 0.0000 0.0000 0.7574
Tl: 0.3333 0.6667 0.4240
Tl: 0.3333 0.6667 0.9093
Tl: 0.6667 0.3333 0.0907
Tl: 0.6667 0.3333 0.5760

Calculated values
Energy of formation from the pure elements, eV per atom: -0.04
Final energy, eV/atom: -2.62
Magnetization, μB/f.u.: 0.0